# Zr2CoNi, optimized geometry, DFT GGA-PBEsol
data_Zr2CoNi
_chemical_formula_sum 'Zr4 Co2 Ni2'
_space_group_name_H-M_alt 'A m m 2'
_space_group_IT_number 38
_cell_length_a 4.032
_cell_length_b 3.243
_cell_length_c 9.703
_cell_angle_alpha 90.00
_cell_angle_beta 90.00
_cell_angle_gamma 90.00
loop_
_space_group_symop_operation_xyz
'x,y,z'
'-x,-y,z'
'-x,y,z'
'x,-y,z'
'x,y+1/2,z+1/2'
'-x,-y+1/2,z+1/2'
'-x,y+1/2,z+1/2'
'x,-y+1/2,z+1/2'
loop_
_atom_site_label
_atom_site_type_symbol
_atom_site_fract_x
_atom_site_fract_y
_atom_site_fract_z
Zr1 Zr 0.000 0.000 0.000
Zr2 Zr 0.500 0.000 0.280
Co1 Co 0.500 0.000 0.553
Ni1 Ni 0.000 0.000 0.722
# **VASP energy**: -67.54 eV for the cell shown
# **ΔE to the lowest computed polymorph**: 0 kJ/mol of formula units
# **Crystal system**: orthorhombic